Entry 1:
Density functional theory data (PBE) for LuMnRh2 after structural relaxation.

The value obtained for the calculated formation energy is -0.565 eV/atom. Its density is 10.98 g/cm3. As for the total magnetic moment: 4.57 μB/f.u. The calculation puts the volume at 65.9 Å³ per cell.

The structure belongs to space group P4/mmm (No. 123); the cell edges are 3.234, 3.234 and 6.300 Å and the angles 90.00°, 90.00° and 90.00°. The inequivalent atoms are Lu at (0.000, 0.000, 0.000), Mn at (0.000, 0.000, 0.500) and Rh at (0.500, 0.500, 0.269).

---

Entry 2:
Density functional theory data (PBE) for Lu2MnRh after structural relaxation.

The value obtained for the calculated formation energy is -0.427 eV/atom. Its density is 10.80 g/cm3. As for the total magnetic moment: 2.66 μB/f.u. The calculation puts the volume at 78.1 Å³ per cell.

The structure belongs to space group P4/mmm (No. 123); the cell edges are 3.373, 3.373 and 6.861 Å and the angles 90.00°, 90.00° and 90.00°. The inequivalent atoms are Lu at (0.000, 0.000, 0.241), Mn at (0.500, 0.500, 0.500) and Rh at (0.500, 0.500, 0.000).

---

Entry 3:
Density functional theory data (PBE) for LuMnRh2 after structural relaxation.

The value obtained for the calculated formation energy is -0.599 eV/atom. Its density is 11.02 g/cm3. As for the total magnetic moment: 4.57 μB/f.u. The calculation puts the volume at 262.6 Å³ per cell.

The structure belongs to space group Fm-3m (No. 225); the cell edges are 6.404, 6.404 and 6.404 Å and the angles 90.00°, 90.00° and 90.00°. The inequivalent atoms are Lu at (0.000, 0.000, 0.000), Mn at (0.000, 0.000, 0.500) and Rh at (0.250, 0.250, 0.250).